i | Here is CuSbAs after structural relaxation from Alexandria via LeMat-Bulk. Energies are from PBE.

a = 3.849 Å, b = 3.849 Å, c = 4.680 Å
α = 90.00°, β = 90.00°, γ = 120.00°
Fractional positions:
Cu 0.000 0.000 0.000
Sb 0.667 0.333 0.326
As 0.333 0.667 0.759

## Properties
- size of the total moment (μB per formula unit) = 0.00
- Fermi-level density of states (states/eV/f.u.) = 1.4



ii | Here is CuSbAs after structural relaxation from Alexandria via LeMat-Bulk. Energies are from PBE.

a = 4.479 Å, b = 4.479 Å, c = 4.479 Å
α = 60.00°, β = 60.00°, γ = 60.00°
Fractional positions:
Cu 0.000 0.000 0.000
Sb 0.250 0.250 0.250
As 0.750 0.750 0.750

## Properties
- size of the total moment (μB per formula unit) = 0.00
- Fermi-level density of states (states/eV/f.u.) = 1.7



iii | Here is CuSbAs after structural relaxation from Alexandria via LeMat-Bulk. Energies are from PBE.

a = 6.269 Å, b = 6.269 Å, c = 6.269 Å
α = 148.82°, β = 148.82°, γ = 44.68°
Fractional positions:
Cu 0.000 0.000 0.000
Sb 0.338 0.338 0.000
As 0.574 0.574 0.000

## Properties
- size of the total moment (μB per formula unit) = 0.00
- Fermi-level density of states (states/eV/f.u.) = 0.8



iv | Here is CuSbAs after structural relaxation from Alexandria via LeMat-Bulk. Energies are from PBE.

a = 7.716 Å, b = 7.716 Å, c = 7.716 Å
α = 148.64°, β = 148.64°, γ = 44.94°
Fractional positions:
Cu 0.000 0.500 0.500
Cu 0.500 0.000 0.500
Sb 0.145 0.145 0.000
Sb 0.855 0.855 0.000
As 0.376 0.376 0.000
As 0.624 0.624 0.000

## Properties
- size of the total moment (μB per formula unit) = 0.00
- Fermi-level density of states (states/eV/f.u.) = 0.8



Short version: iii is the least stable of them.



i | Here is CuSbTe2As after structural relaxation from Alexandria via LeMat-Bulk. Energies are from PBE.

a = 5.121 Å, b = 5.121 Å, c = 5.025 Å
α = 90.00°, β = 90.00°, γ = 90.00°
Fractional positions:
Cu 0.000 0.000 0.000
Sb 0.000 0.000 0.500
Te 0.000 0.500 0.000
Te 0.500 0.000 0.000
As 0.500 0.500 0.500

## Properties
- size of the total moment (μB per formula unit) = 0.00
- Fermi-level density of states (states/eV/f.u.) = 3.6



ii | Here is CuSbTe2As after structural relaxation from Alexandria via LeMat-Bulk. Energies are from PBE.

a = 5.533 Å, b = 5.533 Å, c = 5.201 Å
α = 90.00°, β = 90.00°, γ = 90.00°
Fractional positions:
Cu 0.000 0.000 0.000
Sb 0.500 0.500 0.000
Te 0.000 0.500 0.500
Te 0.500 0.000 0.500
As 0.500 0.500 0.500

## Properties
- size of the total moment (μB per formula unit) = 0.00
- Fermi-level density of states (states/eV/f.u.) = 4.3



Short version: ii is the least stable of them.



i | Here is ScCu3As after structural relaxation from Alexandria via LeMat-Bulk. Energies are from PBE.

a = 4.722 Å, b = 4.722 Å, c = 4.722 Å
α = 90.00°, β = 90.00°, γ = 90.00°
Fractional positions:
Sc 0.000 0.000 0.000
Cu 0.000 0.000 0.500
Cu 0.000 0.500 0.000
Cu 0.500 0.000 0.000
As 0.500 0.500 0.500

## Properties
- size of the total moment (μB per formula unit) = 0.00
- Fermi-level density of states (states/eV/f.u.) = 6.5



ii | Here is ScCu3As after structural relaxation from Alexandria via LeMat-Bulk. Energies are from PBE.

a = 4.496 Å, b = 4.496 Å, c = 4.496 Å
α = 90.00°, β = 90.00°, γ = 90.00°
Fractional positions:
Sc 0.000 0.000 0.000
Cu 0.000 0.500 0.500
Cu 0.500 0.000 0.500
Cu 0.500 0.500 0.000
As 0.500 0.500 0.500

## Properties
- size of the total moment (μB per formula unit) = 0.00
- Fermi-level density of states (states/eV/f.u.) = 3.9



Short version: i is the least stable of them.



i | Here is ScCuAsSe2 after structural relaxation from Alexandria via LeMat-Bulk. Energies are from PBE.

a = 4.824 Å, b = 4.824 Å, c = 4.621 Å
α = 90.00°, β = 90.00°, γ = 90.00°
Fractional positions:
Sc 0.000 0.000 0.000
Cu 0.500 0.500 0.500
As 0.500 0.500 0.000
Se 0.000 0.500 0.500
Se 0.500 0.000 0.500

## Properties
- size of the total moment (μB per formula unit) = 0.00
- Fermi-level density of states (states/eV/f.u.) = 3.3



ii | Here is ScCuAsSe2 after structural relaxation from Alexandria via LeMat-Bulk. Energies are from PBE.

a = 5.103 Å, b = 5.103 Å, c = 5.147 Å
α = 90.00°, β = 90.00°, γ = 90.00°
Fractional positions:
Sc 0.000 0.000 0.000
Cu 0.500 0.500 0.500
As 0.000 0.000 0.500
Se 0.000 0.500 0.000
Se 0.500 0.000 0.000

## Properties
- size of the total moment (μB per formula unit) = 0.48
- Fermi-level density of states (states/eV/f.u.) = 5.3



Short version: ii is the least stable of them.